1.
Material: V5Zn4Te3O18
Method: DFT, PBE+U
State: relaxed

Cell lengths 15.009, 9.123, 10.761 Å; angles 90.00, 95.21, 90.00 degrees
Space group C2/c (No. 15)
One atom of each set of equivalent atoms:
V  0.000  0.174  0.250
V  0.150  0.154  0.770
V  0.162  0.302  0.049
Zn  0.037  0.357  0.535
Zn  0.203  0.145  0.431
Te  0.000  0.000  0.000
Te  0.159  0.495  0.299
O  0.070  0.182  0.428
O  0.071  0.007  0.180
O  0.082  0.456  0.963
O  0.088  0.315  0.189
O  0.093  0.146  0.935
O  0.096  0.336  0.702
O  0.228  0.315  0.883
O  0.234  0.167  0.618
O  0.245  0.475  0.154

Summary:
total DFT energy (no corrections)	-6.2077	eV/atom

2.
Material: Zr2VTeO
Method: DFT, PBE+U
State: relaxed

Cell lengths 4.607, 4.607, 4.085 Å; angles 90.00, 90.00, 90.00 degrees
Space group P4/mmm (No. 123)
One atom of each set of equivalent atoms:
Zr  0.000  0.500  0.000
V  0.000  0.000  0.500
Te  0.500  0.500  0.500
O  0.000  0.000  0.000

Summary:
total DFT energy (no corrections)	-7.2981	eV/atom

3.
Material: TeW3O12
Method: DFT, PBE+U
State: relaxed

Cell lengths 5.272, 5.394, 7.522 Å; angles 88.39, 89.98, 89.98 degrees
Space group P1 (No. 1)
One atom of each set of equivalent atoms:
Te  0.000  0.000  0.000
W  0.000  0.009  0.500
W  0.500  0.500  0.001
W  0.502  0.509  0.501
O  0.089  0.000  0.751
O  0.210  0.712  0.045
O  0.216  0.287  0.461
O  0.285  0.788  0.461
O  0.288  0.211  0.045
O  0.422  0.501  0.751
O  0.579  0.500  0.250
O  0.712  0.789  0.955
O  0.714  0.215  0.540
O  0.787  0.716  0.539
O  0.790  0.289  0.955
O  0.911  0.001  0.249

Summary:
total DFT energy (no corrections)	-6.9459	eV/atom

4.
Material: Te2WO
Method: DFT, PBE+U
State: relaxed

Cell lengths 5.793, 5.793, 12.504 Å; angles 90.00, 90.00, 90.00 degrees
Space group I-42d (No. 122)
One atom of each set of equivalent atoms:
Te  0.168  0.250  0.125
W  0.000  0.000  0.500
O  0.000  0.000  0.000

Summary:
total DFT energy (no corrections)	-4.0774	eV/atom

5.
Material: Te2WO8
Method: DFT, PBE+U
State: relaxed

Cell lengths 9.162, 6.727, 5.178 Å; angles 90.00, 110.96, 90.00 degrees
Space group C2/m (No. 12)
One atom of each set of equivalent atoms:
Te  0.160  0.000  0.238
W  0.000  0.500  0.000
O  0.077  0.000  0.836
O  0.127  0.500  0.768
O  0.140  0.303  0.237

Summary:
E above lowest polymorph	0	meV/atom

6.
Material: TeW2O8
Method: DFT, PBE+U
State: relaxed

Cell lengths 5.150, 5.957, 6.112 Å; angles 106.20, 90.38, 115.46 degrees
Space group P1 (No. 1)
One atom of each set of equivalent atoms:
Te  0.000  0.000  0.000
W  0.204  0.440  0.649
W  0.753  0.462  0.327
O  0.146  0.649  0.443
O  0.215  0.687  0.897
O  0.225  0.203  0.795
O  0.288  0.217  0.276
O  0.614  0.600  0.611
O  0.738  0.684  0.187
O  0.774  0.203  0.064
O  0.813  0.237  0.521

Summary:
E above lowest polymorph	17	meV/atom

| no. | magnetic moment (μB/atom) |
| --- | --- |
| 1 | 0.300 |
| 2 | 0.286 |
| 3 | 0.000 |
| 4 | 0.850 |
| 5 | 0.000 |
| 6 | 0.000 |